Record 1
Below is a crystal of SiPSN2 relaxed with PBEsol, with properties calculated at the meta-GGA SCAN level.

Calculated values
space group = P4/mmm
DOS(E_F) = 1.49 states/eV per cell
raw total energy = -8.910 eV per atom
uncorrected formation energy = 815 meV/atom
V = 10.90 A^3/atom

Cell lengths 3.434, 3.434, 4.620 Å; angles 90.00, 90.00, 90.00 degrees
Positions (direct):
Si1 0.000 0.000 0.000
P1 0.500 0.500 0.500
S1 0.500 0.500 0.000
N1 0.000 0.500 0.500
N2 0.500 0.000 0.500

Record 2
Below is a crystal of SnPS2N relaxed with PBEsol, with properties calculated at the meta-GGA SCAN level.

Calculated values
space group = P4/mmm
DOS(E_F) = 3.56 states/eV per cell
raw total energy = -13.305 eV per atom
uncorrected formation energy = 1668 meV/atom
V = 25.56 A^3/atom

Cell lengths 5.005, 5.005, 5.102 Å; angles 90.00, 90.00, 90.00 degrees
Positions (direct):
Sn1 0.000 0.000 0.000
P1 0.000 0.000 0.500
S1 0.000 0.500 0.000
S2 0.500 0.000 0.000
N1 0.500 0.500 0.500

Record 3
Below is a crystal of TcPS2N relaxed with PBEsol, with properties calculated at the meta-GGA SCAN level.

Calculated values
space group = P4/mmm
DOS(E_F) = 3.45 states/eV per cell
raw total energy = -14.189 eV per atom
uncorrected formation energy = 612 meV/atom
V = 15.88 A^3/atom

Cell lengths 4.673, 4.673, 3.635 Å; angles 90.00, 90.00, 90.00 degrees
Positions (direct):
Tc1 0.000 0.000 0.000
P1 0.500 0.500 0.500
S1 0.000 0.500 0.000
S2 0.500 0.000 0.000
N1 0.000 0.000 0.500

Record 4
Below is a crystal of TeP2SN relaxed with PBEsol, with properties calculated at the meta-GGA SCAN level.

Calculated values
space group = P4/mmm
DOS(E_F) = 1.88 states/eV per cell
raw total energy = -14.331 eV per atom
uncorrected formation energy = 1062 meV/atom
V = 14.86 A^3/atom

Cell lengths 4.192, 4.192, 4.228 Å; angles 90.00, 90.00, 90.00 degrees
Positions (direct):
Te1 0.000 0.000 0.000
P1 0.000 0.500 0.500
P2 0.500 0.000 0.500
S1 0.500 0.500 0.000
N1 0.500 0.500 0.500

Record 5
Below is a crystal of TeP2SN relaxed with PBEsol, with properties calculated at the meta-GGA SCAN level.

Calculated values
space group = P4/mmm
DOS(E_F) = 2.83 states/eV per cell
raw total energy = -13.379 eV per atom
uncorrected formation energy = 2014 meV/atom
V = 26.72 A^3/atom

Cell lengths 5.165, 5.165, 5.009 Å; angles 90.00, 90.00, 90.00 degrees
Positions (direct):
Te1 0.000 0.000 0.000
P1 0.000 0.500 0.000
P2 0.500 0.000 0.000
S1 0.000 0.000 0.500
N1 0.500 0.500 0.500

Record 6
Below is a crystal of TiPS2N relaxed with PBEsol, with properties calculated at the meta-GGA SCAN level.

Calculated values
space group = P4/mmm
DOS(E_F) = 1.99 states/eV per cell
raw total energy = -10.982 eV per atom
uncorrected formation energy = 14 meV/atom
V = 13.73 A^3/atom

Cell lengths 4.593, 4.593, 3.253 Å; angles 90.00, 90.00, 90.00 degrees
Positions (direct):
Ti1 0.000 0.000 0.000
P1 0.500 0.500 0.500
S1 0.000 0.500 0.500
S2 0.500 0.000 0.500
N1 0.500 0.500 0.000

Record 7
Below is a crystal of TiP2SN relaxed with PBEsol, with properties calculated at the meta-GGA SCAN level.

Calculated values
space group = P4/mmm
DOS(E_F) = 2.03 states/eV per cell
raw total energy = -10.651 eV per atom
uncorrected formation energy = 498 meV/atom
V = 12.80 A^3/atom

Cell lengths 3.846, 3.846, 4.328 Å; angles 90.00, 90.00, 90.00 degrees
Positions (direct):
Ti1 0.000 0.000 0.000
P1 0.000 0.500 0.500
P2 0.500 0.000 0.500
S1 0.500 0.500 0.000
N1 0.500 0.500 0.500

Record 8
Below is a crystal of TiPS2N relaxed with PBEsol, with properties calculated at the meta-GGA SCAN level.

Calculated values
space group = P4/mmm
DOS(E_F) = 2.64 states/eV per cell
raw total energy = -10.233 eV per atom
uncorrected formation energy = 763 meV/atom
V = 19.93 A^3/atom

Cell lengths 4.577, 4.577, 4.756 Å; angles 90.00, 90.00, 90.00 degrees
Positions (direct):
Ti1 0.000 0.000 0.000
P1 0.000 0.000 0.500
S1 0.000 0.500 0.000
S2 0.500 0.000 0.000
N1 0.500 0.500 0.500